VASP calculation (PBE-GGA) on crystalline Hg2Pt2F at its relaxed geometry.

## Properties
* SG: P4/mbm, No. 127
* energy above the most stable polymorph in this dataset: 0.524 eV/f.u.
* raw total energy: -2.988 eV per atom
* energy relative to the elements, uncorrected: -0.08 eV per atom

Cell: 7.8124 7.8124 3.1183 Å, 90.00 90.00 90.00°
Fractional coordinates of all 10 atoms:
Hg: 0.1778 0.3222 0.0000
Hg: 0.3222 0.8222 0.0000
Hg: 0.6778 0.1778 0.0000
Hg: 0.8222 0.6778 0.0000
Pt: 0.1220 0.6220 0.5000
Pt: 0.3780 0.1220 0.5000
Pt: 0.6220 0.8780 0.5000
Pt: 0.8780 0.3780 0.5000
F: 0.0000 0.0000 0.5000
F: 0.5000 0.5000 0.5000

***

VASP calculation (PBE-GGA) on crystalline CdHCI2 at its relaxed geometry.

## Properties
* SG: P4/mmm, No. 123
* raw total energy: -2.117 eV per atom

Cell: 5.4510 5.4510 4.3174 Å, 90.00 90.00 90.00°
Fractional coordinates of all 5 atoms:
Cd: 0.0000 0.0000 0.0000
H: 0.5000 0.5000 0.0000
C: 0.0000 0.0000 0.5000
I: 0.0000 0.5000 0.5000
I: 0.5000 0.0000 0.5000